This record from Alexandria describes an optimized crystal structure of TiNb2Os3. The functional is GGA-PBE.

Cell: 4.3701 6.9071 6.6247 Å, 90.00 90.00 71.56°
Fractional coordinates of all 12 atoms:
Nb  0.3336  0.3328  0.5000
Os  0.8320  0.3360  0.2345
Os  0.1680  0.6640  0.7655
Os  0.5000  0.0000  0.7639
Os  0.5000  0.0000  0.2361
Nb  0.0000  0.0000  0.0000
Os  0.1680  0.6640  0.2345
Ti  0.3318  0.3364  0.0000
Os  0.8320  0.3360  0.7655
Ti  0.6682  0.6636  0.0000
Nb  0.6664  0.6672  0.5000
Nb  0.0000  0.0000  0.5000

Results
* DOS(E_F): 0.72 states/eV/atom
* uncorrected energy: -127.34 eV for the cell shown
* formation energy: -0.3241 eV/atom
* SG: Cmmm, No. 65